1.
Computed, not measured: an optimized crystal structure of MnOsBr2 at the PBE-GGA level of DFT.

POSCAR file:
```
MnOsBr2
1.0
8.198 0.149 -0.014
6.582 4.890 0.014
-7.222 -3.012 2.450
Br Mn Os
2 1 1
Direct
0.986 0.986 0.000 Br
0.244 0.744 0.500 Br
0.568 0.568 0.000 Mn
0.702 0.202 0.500 Os
```

Space group = Imm2, No. 44
ΔE_f (raw) = 0.595 eV/atom
Offset from the most stable computed form = 329 meV per atom
Fermi-level density of states = 2.1 states/eV/cell

2.
Computed, not measured: an optimized crystal structure of Er8Tl5Pb at the PBE-GGA level of DFT.

POSCAR file:
```
Er8Tl5Pb
1.0
8.034 0.017 -0.029
-2.702 7.566 0.029
-2.629 -3.817 6.562
Er Tl Pb
8 5 1
Direct
0.119 0.747 0.019 Er
0.981 0.101 0.728 Er
0.773 0.254 0.379 Er
0.621 0.394 0.875 Er
0.481 0.606 0.227 Er
0.627 0.899 0.881 Er
0.272 0.253 0.373 Er
0.125 0.746 0.519 Er
0.997 0.373 0.122 Tl
0.878 0.875 0.251 Tl
0.749 0.627 0.624 Tl
0.500 0.000 0.500 Tl
0.376 0.125 0.003 Tl
0.250 0.500 0.750 Pb
```

Space group = I-4, No. 82
Fermi-level density of states = 15.1 states/eV/cell
ΔH_f (0 K) = -0.272 eV/atom

Number 1: total energy -21.37 eV/cell. Number 2: total energy -55.85 eV/cell.